Entry 1:
Here is a relaxed structure of ZrCoSi from OQMD via LeMat-Bulk. Energies are from PBE-GGA.

Cell and atoms, written as extended XYZ:
```
6
Lattice="4.012 0.000 0.000 -2.006 3.475 0.000 0.000 0.000 6.527" Properties=species:S:1:pos:R:3 pbc="T T T"
Zr 0.000 0.000 0.000
Zr 0.000 0.000 3.263
Co 0.000 2.316 1.955
Co 2.006 1.158 5.218
Si 0.000 2.316 4.783
Si 2.006 1.158 1.519
```

Computed properties:
M_tot: 0.01 μB/cell
raw total energy: -7.767 eV per atom

***

Entry 2:
Here is a relaxed structure of RbSmNO from OQMD via LeMat-Bulk. Energies are from PBE-GGA.

Cell and atoms, written as extended XYZ:
```
8
Lattice="5.426 0.000 0.000 0.000 5.426 0.000 0.000 0.000 4.758" Properties=species:S:1:pos:R:3 pbc="T T T"
Rb 1.357 1.357 0.014
Rb 4.070 4.070 4.744
Sm 1.357 4.070 2.379
Sm 4.070 1.357 2.379
N 1.357 1.357 2.395
N 4.070 4.070 2.364
O 1.357 4.070 0.000
O 4.070 1.357 0.000
```

Computed properties:
energy above the lowest structure with this stoichiometry: 279 meV per atom
M_tot: 0.00 μB/cell
raw total energy: -5.632 eV per atom

***

Entry 3:
Here is a relaxed structure of LiSiAgAu from OQMD via LeMat-Bulk. Energies are from PBE-GGA.

Cell and atoms, written as extended XYZ:
```
16
Lattice="6.269 0.000 0.000 0.000 6.269 0.000 0.000 0.000 6.269" Properties=species:S:1:pos:R:3 pbc="T T T"
Li 0.000 0.000 0.000
Li 0.000 3.134 3.134
Li 3.134 0.000 3.134
Li 3.134 3.134 0.000
Si 0.000 0.000 3.134
Si 0.000 3.134 0.000
Si 3.134 0.000 0.000
Si 3.134 3.134 3.134
Ag 1.567 1.567 1.567
Ag 1.567 4.702 4.702
Ag 4.702 1.567 4.702
Ag 4.702 4.702 1.567
Au 1.567 1.567 4.702
Au 1.567 4.702 1.567
Au 4.702 1.567 1.567
Au 4.702 4.702 4.702
```

Computed properties:
energy above the lowest structure with this stoichiometry: 0 meV per atom
raw total energy: -3.580 eV per atom

***

Entry 4:
Here is a relaxed structure of Lu3Zn4 from OQMD via LeMat-Bulk. Energies are from PBE-GGA.

Cell and atoms, written as extended XYZ:
```
14
Lattice="8.108 0.000 0.000 -4.054 7.022 0.000 0.000 0.000 5.182" Properties=species:S:1:pos:R:3 pbc="T T T"
Lu -2.640 5.624 1.295
Lu 0.503 1.923 1.295
Lu 1.917 0.526 3.886
Lu 2.137 6.496 1.295
Lu 3.551 5.099 3.886
Lu 6.694 1.397 3.886
Zn -1.623 4.410 3.886
Zn 0.000 4.681 1.295
Zn 1.046 3.411 3.886
Zn 3.477 0.799 1.295
Zn 0.577 6.222 3.886
Zn 3.008 3.611 1.295
Zn 4.054 2.341 3.886
Zn 5.677 2.612 1.295
```

Computed properties:
energy above the lowest structure with this stoichiometry: 92 meV per atom
M_tot: 0.00 μB/cell
formation enthalpy at 0 K: -0.74 eV/f.u.
raw total energy: -2.767 eV per atom

***

Entry 5:
Here is a relaxed structure of BaInGaNi2 from OQMD via LeMat-Bulk. Energies are from PBE-GGA.

Cell and atoms, written as extended XYZ:
```
10
Lattice="4.479 0.000 0.000 0.000 4.479 0.000 0.000 0.000 10.507" Properties=species:S:1:pos:R:3 pbc="T T T"
Ba 1.120 1.120 2.419
Ba 3.360 3.360 8.088
In 1.120 3.360 5.254
In 3.360 1.120 5.254
Ga 1.120 1.120 9.420
Ga 3.360 3.360 1.087
Ni 1.120 1.120 6.805
Ni 1.120 3.360 0.000
Ni 3.360 1.120 0.000
Ni 3.360 3.360 3.703
```

Computed properties:
M_tot: 0.01 μB/cell
raw total energy: -4.021 eV per atom

***

Entry 6:
Here is a relaxed structure of TaReAg from OQMD via LeMat-Bulk. Energies are from PBE-GGA.

Cell and atoms, written as extended XYZ:
```
12
Lattice="6.199 0.000 0.000 0.000 6.199 0.000 0.000 0.000 6.199" Properties=species:S:1:pos:R:3 pbc="T T T"
Ta 0.000 0.000 0.000
Ta 0.000 3.100 3.100
Ta 3.100 0.000 3.100
Ta 3.100 3.100 0.000
Re 1.550 1.550 1.550
Re 1.550 4.649 4.649
Re 4.649 1.550 4.649
Re 4.649 4.649 1.550
Ag 1.550 1.550 4.649
Ag 1.550 4.649 1.550
Ag 4.649 1.550 1.550
Ag 4.649 4.649 4.649
```

Computed properties:
energy above the lowest structure with this stoichiometry: 27 meV per atom
M_tot: 0.00 μB/cell
formation enthalpy at 0 K: 3.16 eV/f.u.
raw total energy: -7.981 eV per atom